[1]
# Hf2InN (GGA-PBE, optimized geometry)
data_Hf2InN
_symmetry_space_group_name_H-M 'P 1'
_symmetry_Int_Tables_number 1
_cell_length_a 6.6086
_cell_length_b 6.6086
_cell_length_c 5.8809
_cell_angle_alpha 55.81
_cell_angle_beta 55.81
_cell_angle_gamma 90.00
loop_
_symmetry_equiv_pos_as_xyz
'x,y,z'
loop_
_atom_site_label
_atom_site_type_symbol
_atom_site_fract_x
_atom_site_fract_y
_atom_site_fract_z
Hf1 Hf 0.8750 0.7646 0.7500
Hf2 Hf 0.3750 0.4854 0.7500
Hf3 Hf 0.2354 0.6250 0.2500
Hf4 Hf 0.5146 0.1250 0.2500
N1 N 0.5000 0.5000 0.0000
N2 N 0.2500 0.7500 0.5000
In1 In 0.7500 0.2500 0.5000
In2 In 0.0000 0.0000 0.0000
# N(E_F): 2.20 states/eV/f.u.
# Volume: 155.9 Å³/cell
# E_form (uncorrected): -53.8 kJ per mole of atoms


[2]
# Tb8Nd3Er2 (GGA-PBE, optimized geometry)
data_Tb8Nd3Er2
_symmetry_space_group_name_H-M 'P 1'
_symmetry_Int_Tables_number 1
_cell_length_a 5.5926
_cell_length_b 6.7885
_cell_length_c 11.7994
_cell_angle_alpha 78.14
_cell_angle_beta 103.69
_cell_angle_gamma 89.98
loop_
_symmetry_equiv_pos_as_xyz
'x,y,z'
loop_
_atom_site_label
_atom_site_type_symbol
_atom_site_fract_x
_atom_site_fract_y
_atom_site_fract_z
Tb1 Tb 0.8218 0.2653 0.6435
Tb2 Tb 0.1782 0.7347 0.3565
Tb3 Tb 0.3314 0.5290 0.6629
Tb4 Tb 0.3778 0.9893 0.7552
Tb5 Tb 0.6686 0.4710 0.3371
Tb6 Tb 0.9228 0.5940 0.8458
Tb7 Tb 0.6222 0.0107 0.2448
Tb8 Tb 0.0772 0.4060 0.1542
Nd1 Nd 0.4884 0.2886 0.9770
Nd2 Nd 0.0000 0.0000 0.0000
Nd3 Nd 0.5116 0.7114 0.0230
Er1 Er 0.2305 0.1845 0.4609
Er2 Er 0.7695 0.8155 0.5391
# Offset from the most stable computed form: 0.0000 eV per atom
# Formation enthalpy at 0 K: 0.0851 eV/atom
# N(E_F): 19.56 states/eV/f.u.
# Volume: 425.4 Å³/cell